{
  "formula": "Ca2Hg5Pd4",
  "functional": "PBE-GGA",
  "state": "relaxed",
  "lattice_angstrom": [[6.463, -2.887, 0.000], [6.463, 2.887, 0.000], [-6.100, 0.000, 6.466]],
  "species": ["Ca", "Ca", "Hg", "Hg", "Hg", "Hg", "Hg", "Pd", "Pd", "Pd", "Pd"],
  "fractional_positions": [[0.227, 0.227, 0.228], [0.773, 0.773, 0.772], [0.248, 0.752, 0.309], [0.248, 0.752, 0.691], [0.500, 0.500, 0.000], [0.752, 0.248, 0.309], [0.752, 0.248, 0.691], [0.256, 0.256, 0.585], [0.257, 0.257, 0.929], [0.743, 0.743, 0.071], [0.744, 0.744, 0.415]]
}

{
  "formula": "CaHg4Pd4",
  "functional": "PBE-GGA",
  "state": "relaxed",
  "lattice_angstrom": [[8.739, 0.000, 0.000], [0.000, 8.739, 0.000], [0.000, 0.000, 5.491]],
  "species": ["Ca", "Ca", "Hg", "Hg", "Hg", "Hg", "Hg", "Hg", "Hg", "Hg", "Pd", "Pd", "Pd", "Pd", "Pd", "Pd", "Pd", "Pd"],
  "fractional_positions": [[0.250, 0.250, 0.250], [0.750, 0.750, 0.750], [0.065, 0.638, 0.142], [0.138, 0.935, 0.642], [0.362, 0.565, 0.642], [0.435, 0.862, 0.142], [0.565, 0.138, 0.858], [0.638, 0.435, 0.358], [0.862, 0.065, 0.358], [0.935, 0.362, 0.858], [0.053, 0.621, 0.640], [0.121, 0.947, 0.140], [0.379, 0.553, 0.140], [0.447, 0.879, 0.640], [0.553, 0.121, 0.360], [0.621, 0.447, 0.860], [0.879, 0.053, 0.860], [0.947, 0.379, 0.360]]
}

{
  "formula": "Ca3HgPd3",
  "functional": "PBE-GGA",
  "state": "relaxed",
  "lattice_angstrom": [[2.205, -5.271, 0.000], [2.205, 5.271, 0.000], [0.000, 0.000, 14.145]],
  "species": ["Ca", "Ca", "Ca", "Ca", "Ca", "Ca", "Hg", "Hg", "Pd", "Pd", "Pd", "Pd", "Pd", "Pd"],
  "fractional_positions": [[0.027, 0.973, 0.750], [0.304, 0.696, 0.604], [0.304, 0.696, 0.896], [0.696, 0.304, 0.104], [0.696, 0.304, 0.396], [0.973, 0.027, 0.250], [0.000, 0.000, 0.000], [0.000, 0.000, 0.500], [0.255, 0.745, 0.250], [0.405, 0.595, 0.096], [0.405, 0.595, 0.404], [0.595, 0.405, 0.596], [0.595, 0.405, 0.904], [0.745, 0.255, 0.750]]
}

{
  "formula": "CaHgPd",
  "functional": "PBE-GGA",
  "state": "relaxed",
  "lattice_angstrom": [[0.000, 3.361, 3.361], [3.361, 0.000, 3.361], [3.361, 3.361, 0.000]],
  "species": ["Ca", "Hg", "Pd"],
  "fractional_positions": [[0.000, 0.000, 0.000], [0.500, 0.500, 0.500], [0.250, 0.250, 0.250]]
}

{
  "formula": "Ca2Hg3Pd2",
  "functional": "PBE-GGA",
  "state": "relaxed",
  "lattice_angstrom": [[5.081, -2.227, 0.000], [5.081, 2.227, 0.000], [-2.500, 0.000, 7.059]],
  "species": ["Ca", "Ca", "Hg", "Hg", "Hg", "Pd", "Pd"],
  "fractional_positions": [[0.143, 0.143, 0.278], [0.857, 0.857, 0.722], [0.370, 0.370, 0.052], [0.500, 0.500, 0.500], [0.630, 0.630, 0.948], [0.144, 0.144, 0.697], [0.856, 0.856, 0.303]]
}

{
  "formula": "Ca3HgPd",
  "functional": "PBE-GGA",
  "state": "relaxed",
  "lattice_angstrom": [[6.860, -5.634, 0.000], [6.860, 5.634, 0.000], [-0.003, 0.000, 7.746]],
  "species": ["Ca", "Ca", "Ca", "Ca", "Ca", "Ca", "Ca", "Ca", "Ca", "Ca", "Ca", "Ca", "Hg", "Hg", "Hg", "Hg", "Pd", "Pd", "Pd", "Pd"],
  "fractional_positions": [[0.031, 0.182, 0.095], [0.064, 0.435, 0.705], [0.182, 0.031, 0.595], [0.319, 0.468, 0.095], [0.435, 0.064, 0.205], [0.468, 0.319, 0.595], [0.532, 0.681, 0.405], [0.565, 0.936, 0.795], [0.681, 0.532, 0.905], [0.818, 0.969, 0.405], [0.936, 0.565, 0.295], [0.969, 0.818, 0.905], [0.178, 0.822, 0.250], [0.323, 0.677, 0.750], [0.677, 0.323, 0.250], [0.822, 0.178, 0.750], [0.198, 0.301, 0.375], [0.301, 0.198, 0.875], [0.699, 0.802, 0.125], [0.802, 0.699, 0.625]],
  "de_polymorph_mev_per_atom": 47.5
}

{
  "formula": "Ca4HgPd2",
  "functional": "PBE-GGA",
  "state": "relaxed",
  "lattice_angstrom": [[2.392, 1.381, 10.152], [-2.392, 1.381, 10.152], [0.000, -2.762, 10.152]],
  "species": ["Ca", "Ca", "Ca", "Ca", "Hg", "Pd", "Pd"],
  "fractional_positions": [[0.113, 0.113, 0.113], [0.298, 0.298, 0.298], [0.702, 0.702, 0.702], [0.887, 0.887, 0.887], [0.500, 0.500, 0.500], [0.405, 0.405, 0.405], [0.595, 0.595, 0.595]],
  "de_polymorph_mev_per_atom": 11.7
}

{
  "formula": "Ca3Hg2Pd7",
  "functional": "PBE-GGA",
  "state": "relaxed",
  "lattice_angstrom": [[2.787, 1.609, 8.932], [-2.787, 1.609, 8.932], [0.000, -3.218, 8.932]],
  "species": ["Ca", "Ca", "Ca", "Hg", "Hg", "Pd", "Pd", "Pd", "Pd", "Pd", "Pd", "Pd"],
  "fractional_positions": [[0.000, 0.000, 0.000], [0.140, 0.140, 0.140], [0.860, 0.860, 0.860], [0.334, 0.334, 0.334], [0.666, 0.666, 0.666], [0.083, 0.587, 0.587], [0.413, 0.413, 0.917], [0.413, 0.917, 0.413], [0.500, 0.500, 0.500], [0.587, 0.083, 0.587], [0.587, 0.587, 0.083], [0.917, 0.413, 0.413]]
}

{
  "formula": "CaHgPd",
  "functional": "PBE-GGA",
  "state": "relaxed",
  "lattice_angstrom": [[2.253, -4.980, 0.000], [2.253, 4.980, 0.000], [0.000, 0.000, 6.103]],
  "species": ["Ca", "Ca", "Hg", "Hg", "Pd", "Pd"],
  "fractional_positions": [[0.202, 0.798, 0.750], [0.798, 0.202, 0.250], [0.500, 0.500, 0.000], [0.500, 0.500, 0.500], [0.094, 0.906, 0.250], [0.906, 0.094, 0.750]]
}

{
  "formula": "Ca3Hg3Pd",
  "functional": "PBE-GGA",
  "state": "relaxed",
  "lattice_angstrom": [[5.705, -2.068, 0.000], [5.705, 2.068, 0.000], [-4.258, 0.000, 15.803]],
  "species": ["Ca", "Ca", "Ca", "Ca", "Ca", "Ca", "Hg", "Hg", "Hg", "Hg", "Hg", "Hg", "Pd", "Pd"],
  "fractional_positions": [[0.018, 0.018, 0.385], [0.110, 0.110, 0.922], [0.234, 0.234, 0.240], [0.766, 0.766, 0.760], [0.890, 0.890, 0.078], [0.982, 0.982, 0.615], [0.351, 0.351, 0.465], [0.383, 0.383, 0.923], [0.493, 0.493, 0.770], [0.507, 0.507, 0.230], [0.617, 0.617, 0.077], [0.649, 0.649, 0.535], [0.287, 0.287, 0.630], [0.713, 0.713, 0.370]]
}

{
  "formula": "CaHgPd",
  "functional": "PBE-GGA",
  "state": "relaxed",
  "lattice_angstrom": [[4.759, -3.419, 0.000], [4.759, 3.419, 0.000], [-3.037, 0.000, 4.450]],
  "species": ["Ca", "Ca", "Hg", "Hg", "Pd", "Pd"],
  "fractional_positions": [[0.000, 0.500, 0.000], [0.500, 0.000, 0.500], [0.138, 0.862, 0.750], [0.862, 0.138, 0.250], [0.500, 0.500, 0.000], [0.500, 0.500, 0.500]]
}

{
  "formula": "Ca3Hg3Pd2",
  "functional": "PBE-GGA",
  "state": "relaxed",
  "lattice_angstrom": [[2.118, -5.490, 0.000], [2.118, 5.490, 0.000], [0.000, 0.000, 16.988]],
  "species": ["Ca", "Ca", "Ca", "Ca", "Ca", "Ca", "Hg", "Hg", "Hg", "Hg", "Hg", "Hg", "Pd", "Pd", "Pd", "Pd"],
  "fractional_positions": [[0.062, 0.938, 0.608], [0.062, 0.938, 0.892], [0.333, 0.667, 0.750], [0.667, 0.333, 0.250], [0.938, 0.062, 0.108], [0.938, 0.062, 0.392], [0.363, 0.637, 0.532], [0.363, 0.637, 0.968], [0.387, 0.613, 0.250], [0.613, 0.387, 0.750], [0.637, 0.363, 0.032], [0.637, 0.363, 0.468], [0.231, 0.769, 0.121], [0.231, 0.769, 0.379], [0.769, 0.231, 0.621], [0.769, 0.231, 0.879]],
  "de_polymorph_mev_per_atom": 0.0
}

Calculated volume / Å³/f.u.: 241.3, 209.6, 164.4, 75.9, 159.7, 149.7, 201.1, 240.3, 68.5, 186.4, 72.4, 197.5
Magnetization / μB/f.u.: 0.00, 0.00, 0.00, 0.00, 0.00, 0.00, 0.00, 0.00, 0.00, 0.00, 0.00, 0.00
E_tot / eV per atom: -2.759, -2.792, -3.794, -3.027, -2.724, -2.758, -3.184, -4.139, -3.067, -2.274, -3.029, -2.739